An optimized crystal structure of Ni4OF5, computed with PBE with a Hubbard U.

a = 13.288 Å, b = 3.071 Å, c = 5.891 Å
α = 90.00°, β = 107.83°, γ = 90.00°
Space group C2/m (No. 12)
Symmetry-distinct sites (fractional):
Ni  0.000  0.000  0.245 (multiplicity 4)
Ni  0.171  0.500  0.127 (multiplicity 4)
O  0.000  0.500  0.000 (multiplicity 2)
F  0.000  0.500  0.500 (multiplicity 2)
F  0.162  0.000  0.343 (multiplicity 4)
F  0.165  0.000  0.879 (multiplicity 4)

Properties
Its density of states at the Fermi level is 10.567 states/eV/cell. Its calculated total energy is -81.226 eV for the cell shown.